The following is a DFT calculation (PBE) of a relaxed structure of BaCrAg2. Values from VASP.

- size of the total moment (μB per formula unit) = 4.47
- calculated total energy (eV per atom) = -3.9461
- E_form (eV per formula unit) = 1.46

```
&SYSTEM
  ibrav = 0, nat = 4, ntyp = 3
/
ATOMIC_SPECIES
Ba 137.33 Ba.upf
Cr 52.00 Cr.upf
Ag 107.87 Ag.upf
ATOMIC_POSITIONS crystal
Ba 0.000 0.000 0.000
Cr 0.500 0.500 0.331
Ag 0.000 0.000 0.495
Ag 0.500 0.500 0.697
CELL_PARAMETERS angstrom
3.692 0.000 0.000
0.000 3.692 0.000
0.000 0.000 7.452
```